(1)
Computed, not measured: a relaxed Rb3Pd2I6 crystal at the PBE level of DFT.

For the total magnetization, the calculation gives 0.0 Bohr magnetons per cell. The density of states at the Fermi level is 0.430 states/eV/atom. The formation energy (no corrections) is -821 meV per atom. As for the volume: 41.17 A^3/atom. The value obtained for the total DFT energy (no corrections) is -2.875 eV/atom.

Lattice parameters (Å, degrees): 5.3561 5.3561 16.2353 99.49 99.49 90.00
Last column: nearest neighbours and their distance in Å.
Element x y z (fractional)
Rb1 0.0000 0.0000 0.0000  8 I 3.75
Rb2 0.8180 0.8180 0.6361  9 I 3.77-4.11
Rb3 0.1820 0.1820 0.3639  9 I 3.77-4.11
Pd1 0.3945 0.3945 0.7889  5 I 2.77-2.94
Pd2 0.6055 0.6055 0.2111  5 I 2.77-2.94
I1 0.0832 0.5832 0.1665  2 Pd 2.77
I2 0.5832 0.0832 0.1665  2 Pd 2.77
I3 0.9168 0.4168 0.8335  2 Pd 2.77
I4 0.4168 0.9168 0.8335  2 Pd 2.77
I5 0.6987 0.6987 0.3974  1 Pd 2.94
I6 0.3013 0.3013 0.6026  1 Pd 2.94

(2)
Computed, not measured: a relaxed Li3Cd6Ga crystal at the PBE level of DFT.

Its formation energy is -0.18 eV per atom. For the total magnetization, the calculation gives 0.0 Bohr magnetons per cell. The density of states at the Fermi level is 0.303 states/eV/atom. As for the volume: 19.64 A^3/atom. The value obtained for the total DFT energy (no corrections) is -1.604 eV/atom.

Lattice parameters (Å, degrees): 4.8782 8.0311 10.6176 109.20 90.00 90.00
Last column: nearest neighbours and their distance in Å.
Element x y z (fractional)
Li1 0.7500 0.8056 0.3729  9 Cd 2.94-3.11, 1 Ga 3.01, 2 Li 3.08
Li2 0.2500 0.1944 0.6271  9 Cd 2.94-3.11, 1 Ga 3.01, 2 Li 3.08
Li3 0.7500 0.4088 0.7685  8 Cd 2.92-3.05, 1 Ga 3.04, 3 Li 3.08-3.12
Li4 0.2500 0.5912 0.2315  8 Cd 2.92-3.05, 1 Ga 3.04, 3 Li 3.08-3.12
Li5 0.7500 0.2010 0.9710  11 Cd 2.97-3.09, 1 Li 3.12
Li6 0.2500 0.7990 0.0290  11 Cd 2.97-3.09, 1 Li 3.12
Cd1 0.7500 0.5974 0.0688  5 Cd 2.96-3.07, 7 Li 3.00-3.11
Cd2 0.2500 0.4026 0.9312  5 Cd 2.96-3.07, 7 Li 3.00-3.11
Cd3 0.7500 0.9919 0.1691  8 Cd 2.99-3.17, 4 Li 3.01-3.09
Cd4 0.2500 0.0081 0.8309  8 Cd 2.99-3.17, 4 Li 3.01-3.09
Cd5 0.7500 0.0140 0.6688  5 Li 2.94-3.06, 6 Cd 2.95-3.14, 1 Ga 3.13
Cd6 0.2500 0.9860 0.3312  5 Li 2.94-3.06, 6 Cd 2.95-3.14, 1 Ga 3.13
Cd7 0.7500 0.2060 0.4754  4 Li 2.94-3.04, 5 Cd 2.95-3.16, 3 Ga 3.00
Cd8 0.2500 0.7940 0.5246  4 Li 2.94-3.04, 5 Cd 2.95-3.16, 3 Ga 3.00
Cd9 0.7500 0.4104 0.2666  4 Li 2.92-3.03, 5 Cd 2.96-3.17, 3 Ga 3.03-3.04
Cd10 0.2500 0.5896 0.7334  4 Li 2.92-3.03, 5 Cd 2.96-3.17, 3 Ga 3.03-3.04
Cd11 0.7500 0.8027 0.8701  4 Li 2.97-3.02, 7 Cd 3.04-3.14, 1 Ga 3.11
Cd12 0.2500 0.1973 0.1299  4 Li 2.97-3.02, 7 Cd 3.04-3.14, 1 Ga 3.11
Ga1 0.7500 0.6009 0.5653  8 Cd 3.00-3.13, 2 Ga 3.00, 2 Li 3.01-3.04
Ga2 0.2500 0.3991 0.4347  8 Cd 3.00-3.13, 2 Ga 3.00, 2 Li 3.01-3.04

total DFT energy (no corrections) of number 2 (Li3Cd6Ga)? -1.604 eV/atom